1.
This record from the Alexandria database describes an optimized crystal structure of ScPaPt2. The functional is GGA-PBE.

Cell: 3.263 3.263 7.308 Å, 90.00 90.00 90.00°
Space group P4/mmm (No. 123)
One atom of each set of equivalent atoms:
Sc 0.000 0.000 0.000 x1
Pa 0.000 0.000 0.500 x1
Pt 0.500 0.500 0.223 x2

Calculated values
* formation energy from the elements: -4.077 eV per formula unit
* distance to the lowest polymorph of the same formula: 0 meV/atom


2.
This record from the Alexandria database describes an optimized crystal structure of Sc5PaPt6. The functional is GGA-PBE.

Cell: 8.205 14.243 4.712 Å, 90.00 124.97 90.00°
Space group C2/m (No. 12)
One atom of each set of equivalent atoms:
Sc 0.000 0.000 0.000 x2
Sc 0.000 0.166 0.500 x4
Sc 0.000 0.327 0.000 x4
Pa 0.000 0.500 0.500 x2
Pt 0.234 0.000 0.734 x4
Pt 0.239 0.330 0.740 x8

Calculated values
* formation energy from the elements: -13.602 eV per formula unit


3.
This record from the Alexandria database describes an optimized crystal structure of ScPaPt4. The functional is GGA-PBE.

Cell: 7.607 7.607 7.607 Å, 90.00 90.00 90.00°
Space group F-43m (No. 216)
One atom of each set of equivalent atoms:
Sc 0.000 0.000 0.000 x4
Pa 0.250 0.250 0.750 x4
Pt 0.126 0.126 0.374 x16

Calculated values
* formation energy from the elements: -5.668 eV per formula unit


4.
This record from the Alexandria database describes an optimized crystal structure of Sc3PaPt4. The functional is GGA-PBE.

Cell: 3.252 4.771 9.792 Å, 90.00 90.00 90.00°
Space group Pmmm (No. 47)
One atom of each set of equivalent atoms:
Sc 0.000 0.000 0.000 x1
Sc 0.000 0.500 0.241 x2
Pa 0.000 0.000 0.500 x1
Pt 0.500 0.000 0.232 x2
Pt 0.500 0.500 0.000 x1
Pt 0.500 0.500 0.500 x1

Calculated values
* formation energy from the elements: -8.813 eV per formula unit


no.,total magnetic moment (μB/atom),VASP energy (eV per formula unit)
1,0.12,-32.0
2,0.00,-91.0
3,0.00,-45.7
4,0.00,-61.5